# Pm3DyTh2Se6 (GGA-PBE, relaxed)
# - Formation energy (no corrections): -1.708 eV/atom
# - Total DFT energy (no corrections): -6.26 eV per atom
# - Density of states at the Fermi level: 0.583 states/eV per atom
# - Space-group type: C2/m (12)
data_Pm3DyTh2Se6
_chemical_formula_sum 'Pm3 Dy1 Th2 Se6'
_cell_length_a 7.231
_cell_length_b 7.231
_cell_length_c 7.249
_cell_angle_alpha 99.62
_cell_angle_beta 99.62
_cell_angle_gamma 119.89
_symmetry_space_group_name_H-M 'P 1'
_symmetry_Int_Tables_number 1
loop_
_symmetry_equiv_pos_as_xyz
'x,y,z'
loop_
_atom_site_label
_atom_site_fract_x
_atom_site_fract_y
_atom_site_fract_z
_atom_site_occupancy
Pm1 0.000 0.000 0.000 1
Pm2 0.331 0.669 0.000 1
Pm3 0.669 0.331 0.000 1
Dy1 0.500 0.500 0.500 1
Th1 0.167 0.833 0.500 1
Th2 0.833 0.167 0.500 1
Se1 0.092 0.418 0.253 1
Se2 0.258 0.258 0.750 1
Se3 0.418 0.092 0.253 1
Se4 0.582 0.908 0.747 1
Se5 0.742 0.742 0.250 1
Se6 0.908 0.582 0.747 1